(1)
HoPb2ClO4 | PBE | optimized geometry

The structure in extended XYZ format:
```
8
Lattice="3.9771 0.0000 0.0000 0.0000 3.9771 0.0000 0.0000 0.0000 8.8655" Properties=species:S:1:pos:R:3 pbc="T T T"
Ho 0.0000 0.0000 0.0000
Pb 1.9885 1.9885 2.4115
Pb 1.9885 1.9885 6.4540
Cl 0.0000 0.0000 4.4327
O 0.0000 1.9885 1.2972
O 0.0000 1.9885 7.5682
O 1.9885 0.0000 1.2972
O 1.9885 0.0000 7.5682
```

***

(2)
HoSeClO3 | PBE | optimized geometry

The structure in extended XYZ format:
```
24
Lattice="7.3809 0.0000 0.0000 0.0000 6.9928 0.0000 0.0000 0.0000 8.8040" Properties=species:S:1:pos:R:3 pbc="T T T"
Ho 0.7510 1.7482 0.3547
Ho 2.9395 5.2446 4.7567
Ho 4.4415 1.7482 4.0473
Ho 6.6299 5.2446 8.4492
Se 1.5694 1.7482 5.5686
Se 2.1210 5.2446 1.1666
Se 5.2599 1.7482 7.6374
Se 5.8115 5.2446 3.2354
Cl 0.4933 5.2446 6.0207
Cl 3.1972 1.7482 1.6187
Cl 4.1837 5.2446 7.1853
Cl 6.8877 1.7482 2.7833
O 1.0206 4.0015 0.6035
O 1.0206 6.4876 0.6035
O 1.8418 1.7482 7.2451
O 1.8487 5.2446 2.8431
O 2.6698 0.5051 5.0055
O 2.6698 2.9912 5.0055
O 4.7111 4.0015 3.7985
O 4.7111 6.4876 3.7985
O 5.5323 1.7482 5.9609
O 5.5391 5.2446 1.5589
O 6.3603 0.5051 8.2005
O 6.3603 2.9912 8.2005
```

***

(3)
HoTaClO4 | PBE | optimized geometry

The structure in extended XYZ format:
```
14
Lattice="5.9024 -3.3820 0.0000 5.9024 3.3820 0.0000 -1.7484 0.0000 6.7968" Properties=species:S:1:pos:R:3 pbc="T T T"
Ho 1.9026 0.0000 2.4167
Ho 8.1538 0.0000 4.3800
Ta 0.2771 0.0000 5.2615
Ta 9.7793 0.0000 1.5353
Cl 4.5439 0.0000 4.2687
Cl 5.5125 0.0000 2.5281
O 2.9684 1.9959 2.4298
O -0.1960 0.0000 1.8971
O 2.3575 0.0000 0.2766
O 7.0880 1.9959 4.3669
O 2.9684 -1.9959 2.4298
O 7.6989 0.0000 6.5202
O 10.2523 0.0000 4.8997
O 7.0880 -1.9959 4.3669
```

***

(4)
Ho3TcCl2O6 | PBE | optimized geometry

The structure in extended XYZ format:
```
12
Lattice="5.6488 -3.2478 0.0000 5.6488 3.2478 0.0000 -0.9794 0.0000 5.4191" Properties=species:S:1:pos:R:3 pbc="T T T"
Ho 0.0000 0.0000 0.0000
Ho 2.3347 1.6239 2.7096
Ho 2.3347 -1.6239 2.7096
Tc 5.1591 0.0000 2.7096
Cl 1.5251 0.0000 4.6138
Cl 8.7932 0.0000 0.8053
O 4.3114 1.5471 3.8169
O 6.0068 1.5471 1.6022
O 3.4178 0.0000 1.7817
O 6.9005 0.0000 3.6374
O 4.3114 -1.5471 3.8169
O 6.0068 -1.5471 1.6022
```

***

(5)
Ho11Te16ClO48 | PBE | optimized geometry

The structure in extended XYZ format:
```
76
Lattice="5.5860 0.0000 0.0000 -1.9244 11.8820 0.0000 -2.1634 -3.9179 18.0228" Properties=species:S:1:pos:R:3 pbc="T T T"
Ho 0.0000 0.0000 0.0000
Ho -1.5919 9.7205 3.4162
Ho -1.8295 3.9516 13.0935
Ho 0.4309 1.4054 5.3290
Ho 0.3284 -0.6488 8.6335
Ho 0.1321 0.7424 14.0404
Ho 1.3661 7.2217 3.9824
Ho 1.1698 8.6129 9.3893
Ho 1.0673 6.5587 12.6938
Ho 3.3277 4.0125 4.9293
Ho 3.0902 -1.7564 14.6066
Te -2.4338 1.8513 16.0838
Te -1.5563 5.9348 10.1086
Te -1.1953 7.9395 6.8406
Te -0.2634 -2.5403 11.9199
Te 0.3643 3.3989 2.1911
Te -1.4267 7.2601 15.0274
Te 0.8513 5.0505 7.0701
Te 0.3479 -1.4391 17.1220
Te 1.1504 9.4032 0.9008
Te 0.6469 2.9136 10.9527
Te 2.9250 0.7040 2.9954
Te 1.1339 4.5652 15.8317
Te 1.7616 10.5044 6.1029
Te 2.6935 0.0245 11.1821
Te 3.0546 2.0293 7.9142
Te 3.9320 6.1128 1.9389
Cl 1.8308 5.9410 0.0000
O -2.6775 5.6577 11.6273
O -1.4165 0.8274 8.8524
O -2.8749 4.0362 16.7549
O -0.5478 2.8815 3.8057
O -0.7717 -1.6551 10.2952
O -2.8045 7.9066 13.8800
O -0.2379 -0.4657 6.3726
O -1.6233 0.1265 15.3957
O -0.9945 -1.1649 13.0695
O -0.8312 5.1445 6.2243
O 0.5330 1.6318 1.4289
O -1.0772 -2.5598 16.4129
O -0.1936 5.8933 3.1657
O -1.2132 2.6326 14.8279
O -0.0977 10.7999 0.7060
O -0.4311 2.0653 12.2815
O -0.3074 8.3993 5.1797
O 1.5446 -0.3187 3.8325
O 0.3665 8.8106 2.5318
O -0.5324 9.4117 7.8491
O -0.7631 5.7705 14.0298
O -0.3261 7.2198 10.7944
O -0.0061 4.6183 11.7916
O 0.2734 7.0267 7.7706
O 1.2248 0.9374 10.2522
O 1.5044 3.3458 6.2312
O 1.8243 0.7443 7.2284
O 2.2613 2.1936 3.9930
O 2.0307 -1.4476 10.1737
O 1.1318 -0.8465 15.4909
O -0.0464 8.2828 14.1902
O 1.8056 -0.4352 12.8431
O 1.9293 5.8988 5.7413
O 1.5959 -2.8358 17.3168
O 2.7114 5.3315 3.1949
O 1.6918 2.0707 14.8571
O 2.5754 10.5238 1.6099
O 0.9652 6.3323 16.5939
O 2.3294 2.8196 11.7985
O 2.4927 9.1290 4.9533
O 3.1215 7.8376 2.6271
O 1.7362 8.4297 11.6502
O 4.3027 0.0575 4.1428
O 2.2699 9.6192 7.7276
O 2.0460 5.0826 14.2171
O 4.3731 3.9279 1.2679
O 2.9147 7.1367 9.1704
O 4.1757 2.3064 6.3954
```

***

(6)
HoTe2ClO5 | PBE | optimized geometry

The structure in extended XYZ format:
```
36
Lattice="7.6555 0.0000 0.0000 -0.2886 8.0089 0.0000 -1.8173 -2.1464 10.3403" Properties=species:S:1:pos:R:3 pbc="T T T"
Ho 0.8611 2.9248 4.6351
Ho 1.0083 -1.0705 5.3686
Ho 4.5413 6.9329 4.9717
Ho 4.6885 2.9376 5.7053
Te -1.6348 5.8124 7.8207
Te -0.1374 1.4101 7.7664
Te 2.1876 5.7925 2.5282
Te 1.8510 4.4521 7.7802
Te 3.6986 1.4103 2.5601
Te 3.3620 0.0700 7.8121
Te 5.6870 4.4523 2.5740
Te 7.1844 0.0500 2.5196
Cl 0.8437 2.9641 1.7783
Cl 0.9685 -1.0226 9.3970
Cl 4.5811 6.8850 0.9434
Cl 4.7059 2.8984 8.5621
O -0.9027 -0.7264 6.6122
O -0.7526 2.3493 6.2456
O 0.4911 0.7616 4.0162
O 0.7100 6.9154 1.7833
O 0.3161 5.0651 6.7681
O 1.2377 5.0951 4.0386
O 0.8531 2.9327 8.5789
O 1.3986 0.8163 6.7462
O 2.9255 -0.7363 3.7222
O 2.4704 3.5170 6.2587
O 3.0792 2.3454 4.0816
O 2.6241 6.5987 6.6181
O 4.1510 5.0461 3.5941
O 4.6966 2.9297 1.7614
O 4.3119 0.7673 6.3018
O 5.2335 0.7973 3.5723
O 4.8397 -1.0529 8.5570
O 5.0585 5.1009 6.3241
O 6.3022 3.5131 4.0948
O 6.4523 6.5888 3.7281
```

***

Short version: uncorrected formation energy = -1.71; -2.04; -2.64; -2.33; -2.04; -1.79 eV/atom, in the order given.